# 1
# Gd2IrBr (GGA-PBE, relaxed)
data_Gd2IrBr
_cell_length_a 3.4428
_cell_length_b 3.4428
_cell_length_c 8.1843
_cell_angle_alpha 90.00
_cell_angle_beta 90.00
_cell_angle_gamma 90.00
_symmetry_space_group_name_H-M 'P 4/m m m'
_symmetry_Int_Tables_number 123
_symmetry_space_group_name_Hall '-P 4 2'
loop_
_atom_site_label
_atom_site_type_symbol
_atom_site_fract_x
_atom_site_fract_y
_atom_site_fract_z
Gd1 Gd 0.0000 0.0000 0.2075
Ir1 Ir 0.5000 0.5000 0.0000
Br1 Br 0.5000 0.5000 0.5000
# Total magnetic moment: 14.21 μB/f.u.
# Formation energy (no corrections): -0.96 eV per atom

---

# 2
# Nd2Sm5TmTh (GGA-PBE, relaxed)
data_Nd2Sm5TmTh
_cell_length_a 5.6731
_cell_length_b 20.5896
_cell_length_c 10.5743
_cell_angle_alpha 90.00
_cell_angle_beta 90.00
_cell_angle_gamma 90.00
_symmetry_space_group_name_H-M 'C m c 21'
_symmetry_Int_Tables_number 36
_symmetry_space_group_name_Hall 'C 2c -2'
loop_
_atom_site_label
_atom_site_type_symbol
_atom_site_fract_x
_atom_site_fract_y
_atom_site_fract_z
Nd1 Nd 0.0000 0.1148 0.0000
Nd2 Nd 0.0000 0.1146 0.4199
Sm1 Sm 0.0000 0.0144 0.7042
Sm2 Sm 0.0000 0.2750 0.0015
Sm3 Sm 0.0000 0.2951 0.3919
Sm4 Sm 0.0000 0.3842 0.7109
Sm5 Sm 0.0000 0.4825 0.4309
Tm1 Tm 0.0000 0.4049 0.1471
Th1 Th 0.0000 0.1979 0.6991
# Final energy: -43.69 eV/f.u.
# Total magnetic moment: 0.00 μB/f.u.

---

# 3
# Dy6Ho8Pb (GGA-PBE, relaxed)
data_Dy6Ho8Pb
_cell_length_a 9.1489
_cell_length_b 9.1489
_cell_length_c 6.7078
_cell_angle_alpha 90.00
_cell_angle_beta 90.00
_cell_angle_gamma 120.00
_symmetry_space_group_name_H-M 'P -3'
_symmetry_Int_Tables_number 147
_symmetry_space_group_name_Hall '-P 3'
loop_
_atom_site_label
_atom_site_type_symbol
_atom_site_fract_x
_atom_site_fract_y
_atom_site_fract_z
Dy1 Dy 0.0784 0.6822 0.1035
Ho1 Ho 0.0182 0.3320 0.3908
Ho2 Ho 0.3333 0.6667 0.6909
Pb1 Pb 0.0000 0.0000 0.0000
# Final energy: -65.19 eV/f.u.
# Total magnetic moment: 0.00 μB/f.u.

---

# 4
# Ac2InPt (GGA-PBE, relaxed)
data_Ac2InPt
_cell_length_a 3.8529
_cell_length_b 3.8529
_cell_length_c 8.2849
_cell_angle_alpha 90.00
_cell_angle_beta 90.00
_cell_angle_gamma 90.00
_symmetry_space_group_name_H-M 'P 4/m m m'
_symmetry_Int_Tables_number 123
_symmetry_space_group_name_Hall '-P 4 2'
loop_
_atom_site_label
_atom_site_type_symbol
_atom_site_fract_x
_atom_site_fract_y
_atom_site_fract_z
Ac1 Ac 0.0000 0.0000 0.2188
In1 In 0.5000 0.5000 0.5000
Pt1 Pt 0.5000 0.5000 0.0000
# Final energy: -19.92 eV/f.u.
# Total magnetic moment: 0.00 μB/f.u.

---

# 5
# Rb2HfHgF6 (GGA-PBE, relaxed)
data_Rb2HfHgF6
_cell_length_a 9.9416
_cell_length_b 9.9416
_cell_length_c 9.9416
_cell_angle_alpha 90.00
_cell_angle_beta 90.00
_cell_angle_gamma 90.00
_symmetry_space_group_name_H-M 'F m -3 m'
_symmetry_Int_Tables_number 225
_symmetry_space_group_name_Hall '-F 4 2 3'
loop_
_atom_site_label
_atom_site_type_symbol
_atom_site_fract_x
_atom_site_fract_y
_atom_site_fract_z
Rb1 Rb 0.2500 0.2500 0.2500
Hf1 Hf 0.0000 0.0000 0.0000
Hg1 Hg 0.0000 0.0000 0.5000
F1 F 0.0000 0.0000 0.2017
# Total magnetic moment: 0.00 μB/f.u.
# Formation energy (no corrections): -3.01 eV per atom

---

# 6
# Sm4NiAu3 (GGA-PBE, relaxed)
data_Sm4NiAu3
_cell_length_a 3.9026
_cell_length_b 4.6609
_cell_length_c 10.8717
_cell_angle_alpha 90.00
_cell_angle_beta 90.00
_cell_angle_gamma 90.00
_symmetry_space_group_name_H-M 'P m m 2'
_symmetry_Int_Tables_number 25
_symmetry_space_group_name_Hall 'P 2 -2'
loop_
_atom_site_label
_atom_site_type_symbol
_atom_site_fract_x
_atom_site_fract_y
_atom_site_fract_z
Sm1 Sm 0.0000 0.0000 0.0000
Sm2 Sm 0.0000 0.5000 0.2622
Sm3 Sm 0.5000 0.0000 0.4752
Sm4 Sm 0.5000 0.5000 0.7670
Ni1 Ni 0.5000 0.0000 0.2072
Au1 Au 0.0000 0.0000 0.7145
Au2 Au 0.0000 0.5000 0.5393
Au3 Au 0.5000 0.5000 0.0490
# Final energy: -40.10 eV/f.u.
# Total magnetic moment: 0.00 μB/f.u.

---

# 7
# Rb4AcBr7 (GGA-PBE, relaxed)
data_Rb4AcBr7
_cell_length_a 26.8167
_cell_length_b 6.0182
_cell_length_c 7.5311
_cell_angle_alpha 90.00
_cell_angle_beta 105.57
_cell_angle_gamma 90.00
_symmetry_space_group_name_H-M 'C 1 2/m 1'
_symmetry_Int_Tables_number 12
_symmetry_space_group_name_Hall '-C 2y'
loop_
_atom_site_label
_atom_site_type_symbol
_atom_site_fract_x
_atom_site_fract_y
_atom_site_fract_z
Rb1 Rb 0.0936 0.0000 0.1496
Rb2 Rb 0.2222 0.0000 0.7245
Ac1 Ac 0.0000 0.5000 0.5000
Br1 Br 0.0000 0.0000 0.5000
Br2 Br 0.0593 0.5000 0.8991
Br3 Br 0.1067 0.5000 0.4339
Br4 Br 0.2195 0.0000 0.2085
# Total magnetic moment: 0.00 μB/f.u.
# Formation energy (no corrections): -1.78 eV per atom

---

# 8
# RuBrNO2 (GGA-PBE, relaxed)
data_RuBrNO2
_cell_length_a 4.0817
_cell_length_b 4.0817
_cell_length_c 3.8147
_cell_angle_alpha 90.00
_cell_angle_beta 90.00
_cell_angle_gamma 90.00
_symmetry_space_group_name_H-M 'P 4/m m m'
_symmetry_Int_Tables_number 123
_symmetry_space_group_name_Hall '-P 4 2'
loop_
_atom_site_label
_atom_site_type_symbol
_atom_site_fract_x
_atom_site_fract_y
_atom_site_fract_z
Ru1 Ru 0.0000 0.0000 0.0000
Br1 Br 0.5000 0.5000 0.5000
N1 N 0.5000 0.5000 0.0000
O1 O 0.0000 0.5000 0.5000
# Total magnetic moment: 4.24 μB/f.u.
# Formation energy (no corrections): 1.72 eV per atom

---

> Number 6 is which compound?

Sm4NiAu3

---

> Which formula does entry 1 have?

Gd2IrBr